No. 1
Tb14NdCd: optimized geometry, GGA-PBE.

Total energy (eV/atom): -4.41
Space group: P4/mmm (123)
DFT formation energy (eV per atom): -0.0037
DOS at the Fermi energy (states/eV per atom): 1.136
Spin magnetization (μB per formula unit): 0.000

abc: 7.0586 7.0586 10.0580
angles: 90.00 90.00 90.01
Element x y z (fractional)
Tb (0.8750, 0.1250, 0.5000)
Tb (0.6254, 0.8754, 0.2486)
Tb (0.1248, 0.8752, 0.2485)
Tb (0.8750, 0.6251, 0.5000)
Tb (0.1246, 0.3746, 0.7514)
Tb (0.6254, 0.8754, 0.7514)
Tb (0.6250, 0.3750, 0.7512)
Tb (0.8750, 0.6247, 0.0000)
Cd (0.8752, 0.1248, 0.0000)
Tb (0.1246, 0.3746, 0.2486)
Tb (0.6250, 0.3750, 0.2488)
Nd (0.3750, 0.6250, 0.0000)
Tb (0.1248, 0.8752, 0.7515)
Tb (0.3749, 0.6251, 0.5000)
Tb (0.3753, 0.1250, 0.0000)
Tb (0.3749, 0.1250, 0.5000)

No. 2
Tb2Nd3Cd4: optimized geometry, GGA-PBE.

Total energy (eV/atom): -3.15
Space group: Cmce (64)
DFT formation energy (eV per atom): -0.1214
DOS at the Fermi energy (states/eV per atom): 1.054
Spin magnetization (μB per formula unit): 0.002

abc: 6.7149 8.1713 10.3690
angles: 90.00 108.89 90.00
Element x y z (fractional)
Cd (0.1558, 0.9797, 0.3117)
Nd (0.5039, 0.7500, 0.5078)
Tb (0.4108, 0.0998, 0.8215)
Cd (0.3442, 0.4797, 0.6883)
Nd (0.9961, 0.2500, 0.4922)
Nd (0.0039, 0.7500, 0.5078)
Cd (0.1710, 0.7500, 0.8420)
Nd (0.4961, 0.2500, 0.4922)
Cd (0.6710, 0.7500, 0.8420)
Tb (0.0892, 0.5998, 0.1785)
Cd (0.8290, 0.2500, 0.1580)
Nd (0.5000, 0.5000, 0.0000)
Nd (0.0000, 0.0000, 0.0000)
Tb (0.5892, 0.9002, 0.1785)
Cd (0.8442, 0.0203, 0.6883)
Cd (0.6558, 0.5203, 0.3117)
Tb (0.9108, 0.4002, 0.8215)
Cd (0.3290, 0.2500, 0.1580)

No. 3
Tb5Nd5Cd2: optimized geometry, GGA-PBE.

Total energy (eV/atom): -4.13
Space group: C2/m (12)
DFT formation energy (eV per atom): -0.0635
DOS at the Fermi energy (states/eV per atom): 1.176
Spin magnetization (μB per formula unit): 0.000

abc: 5.5052 6.7612 11.2017
angles: 89.79 89.98 113.99
Element x y z (fractional)
Nd (0.3210, 0.6421, 0.9668)
Tb (0.0000, 0.0000, 0.0000)
Tb (0.6806, 0.3613, 0.4657)
Nd (0.4804, 0.9612, 0.2518)
Cd (0.8489, 0.6978, 0.2494)
Tb (0.1828, 0.3662, 0.2525)
Cd (0.1511, 0.3022, 0.7506)
Nd (0.0000, 0.0000, 0.5000)
Tb (0.3194, 0.6387, 0.5343)
Nd (0.5196, 0.0388, 0.7482)
Tb (0.8172, 0.6338, 0.7475)
Nd (0.6790, 0.3579, 0.0332)

No. 4
TbNdCd: optimized geometry, GGA-PBE.

Total energy (eV/atom): -3.52
Space group: P3m1 (156)
DFT formation energy (eV per atom): -0.0780
DOS at the Fermi energy (states/eV per atom): 1.388
Spin magnetization (μB per formula unit): 0.000

abc: 3.6317 5.3164 5.3164
angles: 120.00 90.00 90.00
Element x y z (fractional)
Nd (0.3699, 0.3333, 0.6667)
Cd (0.6937, 0.6667, 0.3333)
Tb (0.9363, 0.0000, 0.0000)

No. 5
Tb4NdCd3: optimized geometry, GGA-PBE.

Total energy (eV/atom): -3.42
Space group: R-3m (166)
DFT formation energy (eV per atom): -0.1636
DOS at the Fermi energy (states/eV per atom): 1.207
Spin magnetization (μB per formula unit): 0.963

abc: 5.3664 5.3664 9.6038
angles: 73.78 73.78 60.00
Last column: magnetic moment on the atom in μB.
Element x y z (fractional)
Tb (0.1306, 0.1306, 0.6082)  0.04
Cd (0.2581, 0.2581, 0.2256)  0.00
Cd (0.5000, 0.5000, 0.5000)  0.00
Tb (0.6134, 0.6134, 0.1599)  0.16
Cd (0.7419, 0.7419, 0.7744)  0.00
Tb (0.8694, 0.8694, 0.3918)  0.04
Tb (0.3866, 0.3866, 0.8401)  0.16
Nd (0.0000, 0.0000, 0.0000)  0.24

No. 6
Tb3NdCd6: optimized geometry, GGA-PBE.

Total energy (eV/atom): -2.71
Space group: P2_1/m (11)
DFT formation energy (eV per atom): -0.2916
DOS at the Fermi energy (states/eV per atom): 0.830
Spin magnetization (μB per formula unit): 0.001

abc: 5.2090 9.2735 11.1866
angles: 106.15 90.00 90.00
Element x y z (fractional)
Cd (0.7500, 0.9466, 0.0950)
Tb (0.2500, 0.7626, 0.0010)
Cd (0.2500, 0.6529, 0.7090)
Tb (0.7500, 0.6484, 0.2031)
Cd (0.2500, 0.8417, 0.3027)
Cd (0.7500, 0.3471, 0.2910)
Nd (0.2500, 0.9415, 0.6111)
Tb (0.7500, 0.4738, 0.6081)
Tb (0.2500, 0.5262, 0.3919)
Cd (0.2500, 0.4516, 0.0952)
Cd (0.7500, 0.7517, 0.4969)
Cd (0.2500, 0.0534, 0.9050)
Nd (0.7500, 0.0585, 0.3889)
Tb (0.7500, 0.2374, 0.9990)
Cd (0.2500, 0.1449, 0.1963)
Tb (0.2500, 0.3516, 0.7969)
Cd (0.7500, 0.1583, 0.6973)
Cd (0.2500, 0.2483, 0.5031)
Cd (0.7500, 0.8551, 0.8037)
Cd (0.7500, 0.5484, 0.9048)

No. 7
TbNd8Cd2: optimized geometry, GGA-PBE.

Total energy (eV/atom): -4.04
Space group: C2/m (12)
DFT formation energy (eV per atom): 0.0110
DOS at the Fermi energy (states/eV per atom): 1.212
Spin magnetization (μB per formula unit): 0.000

abc: 5.7936 8.9630 8.9630
angles: 119.89 101.34 101.34
Element x y z (fractional)
Nd (0.5000, 0.7799, 0.2201)
Nd (0.1118, 0.0934, 0.3172)
Nd (0.8882, 0.9066, 0.6828)
Nd (0.2981, 0.5985, 0.5985)
Nd (0.5000, 0.2201, 0.7799)
Nd (0.8882, 0.6828, 0.9066)
Nd (0.1118, 0.3172, 0.0934)
Nd (0.7019, 0.4015, 0.4015)
Cd (0.0000, 0.6944, 0.3056)
Cd (0.0000, 0.3056, 0.6944)
Tb (0.5000, 0.0000, 0.0000)

No. 8
Tb12Nd5Cd2: optimized geometry, GGA-PBE.

Total energy (eV/atom): -4.24
Space group: C2/m (12)
DFT formation energy (eV per atom): 0.0395
DOS at the Fermi energy (states/eV per atom): 1.440
Spin magnetization (μB per formula unit): 0.000

abc: 9.3017 12.1433 8.4239
angles: 131.76 90.00 112.52
Element x y z (fractional)
Nd (0.0000, 0.0000, 0.5000)
Cd (0.6719, 0.0000, 0.0000)
Tb (0.5656, 0.7462, 0.4210)
Tb (0.9239, 0.8477, 0.7276)
Nd (0.7022, 0.4044, 0.3864)
Tb (0.5549, 0.1097, 0.7823)
Tb (0.3263, 0.2874, 0.0508)
Tb (0.4344, 0.2538, 0.5790)
Tb (0.6737, 0.7126, 0.9492)
Cd (0.3281, 0.0000, 0.0000)
Tb (0.1807, 0.7462, 0.4210)
Tb (0.0389, 0.7126, 0.9492)
Nd (0.2978, 0.5956, 0.6136)
Tb (0.9611, 0.2874, 0.0508)
Tb (0.8193, 0.2538, 0.5790)
Tb (0.4451, 0.8903, 0.2177)
Tb (0.0761, 0.1523, 0.2724)
Nd (0.2337, 0.4675, 0.8930)
Nd (0.7663, 0.5325, 0.1070)

No. 9
Tb4Nd5Cd4: optimized geometry, GGA-PBE.

Total energy (eV/atom): -3.72
Space group: I4/m (87)
DFT formation energy (eV per atom): -0.1759
DOS at the Fermi energy (states/eV per atom): 0.928
Spin magnetization (μB per formula unit): 0.000

abc: 5.2625 9.0919 9.0919
angles: 85.20 73.18 73.18
Element x y z (fractional)
Cd (0.7600, 0.3398, 0.1401)
Tb (0.3941, 0.7034, 0.5084)
Tb (0.9025, 0.4916, 0.7034)
Nd (0.3153, 0.0752, 0.2942)
Tb (0.6059, 0.2966, 0.4916)
Cd (0.2400, 0.6602, 0.8599)
Tb (0.0975, 0.5084, 0.2966)
Nd (0.3905, 0.2942, 0.9248)
Cd (0.9002, 0.8599, 0.3398)
Cd (0.0998, 0.1401, 0.6602)
Nd (0.6847, 0.9248, 0.7058)
Nd (0.6095, 0.7058, 0.0752)
Nd (0.0000, 0.0000, 0.0000)

No. 10
Tb5NdCd3: optimized geometry, GGA-PBE.

Total energy (eV/atom): -3.58
Space group: P6_3/mcm (193)
DFT formation energy (eV per atom): -0.1744
DOS at the Fermi energy (states/eV per atom): 0.758
Spin magnetization (μB per formula unit): 0.000

abc: 7.0027 9.2537 9.2536
angles: 120.00 90.00 90.00
Element x y z (fractional)
Tb (0.0000, 0.6667, 0.3333)
Tb (0.7500, 0.3324, 0.0000)
Cd (0.7500, 0.6623, 0.0000)
Cd (0.2500, 0.3377, 0.0000)
Tb (0.0000, 0.3333, 0.6667)
Tb (0.5000, 0.3333, 0.6667)
Tb (0.2500, 0.3324, 0.3324)
Nd (0.5000, 0.0000, 0.0000)
Tb (0.7500, 0.0000, 0.3324)
Tb (0.2500, 0.6676, 0.0000)
Cd (0.2500, 0.6623, 0.6623)
Nd (0.0000, 0.0000, 0.0000)
Tb (0.5000, 0.6667, 0.3333)
Tb (0.7500, 0.6676, 0.6676)
Cd (0.7500, 0.0000, 0.6623)
Cd (0.7500, 0.3377, 0.3377)
Tb (0.2500, 0.0000, 0.6676)
Cd (0.2500, 0.0000, 0.3377)

No. 11
Tb6NdCd2: optimized geometry, GGA-PBE.

Total energy (eV/atom): -3.43
Space group: R3 (146)
DFT formation energy (eV per atom): 0.3861
DOS at the Fermi energy (states/eV per atom): 1.224
Spin magnetization (μB per formula unit): 0.000

abc: 7.1562 7.1562 7.6079
angles: 61.95 61.95 60.00
Element x y z (fractional)
Tb (0.0506, 0.0530, 0.2904)
Cd (0.7588, 0.7588, 0.7237)
Tb (0.0530, 0.6060, 0.2904)
Tb (0.7731, 0.2656, 0.6981)
Cd (0.5726, 0.5726, 0.2823)
Tb (0.2631, 0.7731, 0.6981)
Nd (0.3229, 0.3229, 0.0312)
Tb (0.2656, 0.2631, 0.6981)
Tb (0.6060, 0.0506, 0.2904)

No. 12
Tb5Nd6Cd: optimized geometry, GGA-PBE.

Total energy (eV/atom): -4.40
Space group: Immm (71)
DFT formation energy (eV per atom): -0.0146
DOS at the Fermi energy (states/eV per atom): 1.351
Spin magnetization (μB per formula unit): 0.000

abc: 5.0926 9.5106 9.5106
angles: 107.75 105.52 105.52
Element x y z (fractional)
Nd (0.7550, 0.9203, 0.5901)
Tb (0.5000, 0.5000, 0.5000)
Tb (0.0000, 0.6636, 0.3364)
Tb (0.5000, 0.8295, 0.1705)
Nd (0.2450, 0.0797, 0.4099)
Nd (0.7438, 0.2440, 0.2440)
Tb (0.0000, 0.3364, 0.6636)
Nd (0.7550, 0.5901, 0.9203)
Nd (0.2562, 0.7560, 0.7560)
Cd (0.0000, 0.0000, 0.0000)
Nd (0.2450, 0.4099, 0.0797)
Tb (0.5000, 0.1705, 0.8295)